# AcYHo | OQMD via LeMat-Bulk | GGA-PBE | relaxed
# Uncorrected energy   -4.208 eV per atom
# Energy of formation from the pure elements   2.52 eV/f.u.
# M_tot   0.03 μB/f.u.
# Relative energy among the computed polymorphs   46 kJ/mol of formula units
data_AcYHo
_chemical_formula_sum 'Ac4 Y4 Ho4'
_cell_length_a 8.007
_cell_length_b 8.007
_cell_length_c 8.007
_cell_angle_alpha 90.00
_cell_angle_beta 90.00
_cell_angle_gamma 90.00
_symmetry_space_group_name_H-M 'F -4 3 m'
_symmetry_Int_Tables_number 216
_symmetry_space_group_name_Hall 'F -4 2 3'
loop_
_atom_site_label
_atom_site_type_symbol
_atom_site_fract_x
_atom_site_fract_y
_atom_site_fract_z
Ac1 Ac 0.000 0.000 0.000
Y1 Y 0.250 0.250 0.250
Ho1 Ho 0.250 0.250 0.750